Compound: Pa2VReN5
Source: Alexandria via LeMat-Bulk
Functional: PBE-GGA
Structure: optimized geometry

```
Pa2VReN5
1.0
1.681 -6.481 0.000
1.681 6.481 0.000
0.000 0.000 9.707
Pa V Re N
4 2 2 10
Cartesian
1.681 5.037 4.854
1.681 4.628 1.172
1.681 -4.628 6.026
1.681 -5.037 0.000
1.681 0.593 2.738
1.681 -0.593 7.592
1.681 3.838 7.983
1.681 -3.838 3.130
1.681 5.825 8.547
1.681 2.759 4.570
1.681 2.407 1.798
1.681 1.658 7.973
1.681 0.080 5.805
1.681 -0.080 0.951
1.681 -1.658 3.119
1.681 -2.407 6.652
1.681 -2.759 9.424
1.681 -5.825 3.693
```

Computed properties:
- SG = No. 36
- ΔE_f (raw) (eV per formula unit) = -10.08